[1]
{
  "formula": "Ca3TcBr",
  "functional": "PBE",
  "state": "relaxed",
  "lattice": [[5.470, 0.000, 0.000], [0.000, 5.470, 0.000], [0.000, 0.000, 5.470]],
  "species": ["Ca", "Ca", "Ca", "Tc", "Br"],
  "fractional_positions": [[0.000, 0.000, 0.500], [0.000, 0.500, 0.000], [0.500, 0.000, 0.000], [0.000, 0.000, 0.000], [0.500, 0.500, 0.500]],
  "de_polymorph_mev_per_atom": 0,
  "sg": "Pm-3m (221)",
  "formation_energy_uncorrected_mev_per_atom": 119
}


[2]
{
  "formula": "CaTcBr",
  "functional": "PBE",
  "state": "relaxed",
  "lattice": [[7.235, 0.000, 0.000], [0.000, 7.235, 0.000], [0.000, 0.000, 7.235]],
  "species": ["Ca", "Ca", "Ca", "Ca", "Tc", "Tc", "Tc", "Tc", "Br", "Br", "Br", "Br"],
  "fractional_positions": [[0.000, 0.000, 0.000], [0.000, 0.500, 0.500], [0.500, 0.000, 0.500], [0.500, 0.500, 0.000], [0.250, 0.250, 0.750], [0.250, 0.750, 0.250], [0.750, 0.250, 0.250], [0.750, 0.750, 0.750], [0.250, 0.250, 0.250], [0.250, 0.750, 0.750], [0.750, 0.250, 0.750], [0.750, 0.750, 0.250]],
  "de_polymorph_mev_per_atom": 592,
  "sg": "F-43m (216)",
  "formation_energy_uncorrected_mev_per_atom": 892
}


[3]
{
  "formula": "Ca3TcBr",
  "functional": "PBE",
  "state": "relaxed",
  "lattice": [[5.470, 0.000, 0.000], [0.000, 5.470, 0.000], [0.000, 0.000, 5.470]],
  "species": ["Ca", "Ca", "Ca", "Tc", "Br"],
  "fractional_positions": [[0.000, 0.000, 0.500], [0.000, 0.500, 0.000], [0.500, 0.000, 0.000], [0.500, 0.500, 0.500], [0.000, 0.000, 0.000]],
  "de_polymorph_mev_per_atom": 267,
  "sg": "Pm-3m (221)",
  "formation_energy_uncorrected_mev_per_atom": 387
}


[4]
{
  "formula": "CaTcBr",
  "functional": "PBE",
  "state": "relaxed",
  "lattice": [[6.537, 0.000, 0.000], [0.000, 6.537, 0.000], [0.000, 0.000, 6.537]],
  "species": ["Ca", "Ca", "Ca", "Ca", "Tc", "Tc", "Tc", "Tc", "Br", "Br", "Br", "Br"],
  "fractional_positions": [[0.000, 0.000, 0.000], [0.000, 0.500, 0.500], [0.500, 0.000, 0.500], [0.500, 0.500, 0.000], [0.000, 0.000, 0.500], [0.000, 0.500, 0.000], [0.500, 0.000, 0.000], [0.500, 0.500, 0.500], [0.250, 0.250, 0.250], [0.250, 0.750, 0.750], [0.750, 0.250, 0.750], [0.750, 0.750, 0.250]],
  "de_polymorph_mev_per_atom": 260,
  "sg": "F-43m (216)",
  "formation_energy_uncorrected_mev_per_atom": 561
}


[5]
{
  "formula": "Ca4TeBr",
  "functional": "PBE",
  "state": "relaxed",
  "lattice": [[0.000, 4.824, 4.824], [4.824, 0.000, 4.824], [4.824, 4.824, 0.000]],
  "species": ["Ca", "Ca", "Ca", "Ca", "Te", "Br"],
  "fractional_positions": [[0.124, 0.124, 0.124], [0.124, 0.124, 0.628], [0.124, 0.628, 0.124], [0.628, 0.124, 0.124], [0.750, 0.750, 0.750], [0.500, 0.500, 0.500]],
  "sg": "F-43m (216)",
  "formation_energy_uncorrected_mev_per_atom": -272
}


[6]
{
  "formula": "CaTeBr2",
  "functional": "PBE",
  "state": "relaxed",
  "lattice": [[3.882, 0.000, 0.000], [-1.941, 3.362, 0.000], [0.000, 0.000, 37.877]],
  "species": ["Ca", "Ca", "Ca", "Te", "Te", "Te", "Br", "Br", "Br", "Br", "Br", "Br"],
  "fractional_positions": [[0.000, 0.000, 0.000], [0.333, 0.667, 0.667], [0.667, 0.333, 0.333], [0.000, 0.000, 0.500], [0.333, 0.667, 0.167], [0.667, 0.333, 0.833], [0.000, 0.000, 0.380], [0.000, 0.000, 0.620], [0.333, 0.667, 0.046], [0.333, 0.667, 0.287], [0.667, 0.333, 0.713], [0.667, 0.333, 0.954]],
  "de_polymorph_mev_per_atom": 37,
  "sg": "R-3m (166)",
  "formation_energy_uncorrected_mev_per_atom": -1130
}


[7]
{
  "formula": "Ca7TeBr12",
  "functional": "PBE",
  "state": "relaxed",
  "lattice": [[7.714, 4.454, 3.489], [-7.714, 4.454, 3.489], [0.000, -8.907, 3.489]],
  "species": ["Ca", "Ca", "Ca", "Ca", "Ca", "Ca", "Ca", "Te", "Br", "Br", "Br", "Br", "Br", "Br", "Br", "Br", "Br", "Br", "Br", "Br"],
  "fractional_positions": [[0.000, 0.000, 0.000], [0.141, 0.369, 0.466], [0.369, 0.466, 0.141], [0.466, 0.141, 0.369], [0.534, 0.859, 0.631], [0.631, 0.534, 0.859], [0.859, 0.631, 0.534], [0.500, 0.500, 0.500], [0.046, 0.336, 0.128], [0.128, 0.046, 0.336], [0.190, 0.708, 0.573], [0.292, 0.427, 0.810], [0.336, 0.128, 0.046], [0.427, 0.810, 0.292], [0.573, 0.190, 0.708], [0.664, 0.872, 0.954], [0.708, 0.573, 0.190], [0.810, 0.292, 0.427], [0.872, 0.954, 0.664], [0.954, 0.664, 0.872]],
  "sg": "R-3 (148)",
  "formation_energy_uncorrected_mev_per_atom": -1982
}


[8]
{
  "formula": "CaTeBr2",
  "functional": "PBE",
  "state": "relaxed",
  "lattice": [[4.587, 0.000, 0.000], [0.000, 5.506, 0.000], [-1.879, 0.000, 5.026]],
  "species": ["Ca", "Te", "Br", "Br"],
  "fractional_positions": [[0.000, 0.000, 0.000], [0.334, 0.500, 0.825], [0.146, 0.500, 0.293], [0.681, 0.000, 0.400]],
  "de_polymorph_mev_per_atom": 67,
  "sg": "Pm (6)",
  "formation_energy_uncorrected_mev_per_atom": -1099
}


[9]
{
  "formula": "CaTeBr2",
  "functional": "PBE",
  "state": "relaxed",
  "lattice": [[4.387, 0.000, 0.000], [0.000, 4.387, 0.000], [0.000, 0.000, 12.043]],
  "species": ["Ca", "Ca", "Te", "Te", "Br", "Br", "Br", "Br"],
  "fractional_positions": [[0.000, 0.000, 0.000], [0.500, 0.500, 0.500], [0.000, 0.500, 0.750], [0.500, 0.000, 0.250], [0.000, 0.000, 0.500], [0.000, 0.500, 0.250], [0.500, 0.000, 0.750], [0.500, 0.500, 0.000]],
  "de_polymorph_mev_per_atom": 241,
  "sg": "I-4m2 (119)",
  "formation_energy_uncorrected_mev_per_atom": -925
}


[10]
{
  "formula": "CaTe4Br",
  "functional": "PBE",
  "state": "relaxed",
  "lattice": [[0.000, 4.533, 4.533], [4.533, 0.000, 4.533], [4.533, 4.533, 0.000]],
  "species": ["Ca", "Te", "Te", "Te", "Te", "Br"],
  "fractional_positions": [[0.000, 0.000, 0.000], [0.125, 0.625, 0.625], [0.625, 0.125, 0.625], [0.625, 0.625, 0.125], [0.625, 0.625, 0.625], [0.250, 0.250, 0.250]],
  "sg": "F-43m (216)",
  "formation_energy_uncorrected_mev_per_atom": -304
}


[11]
{
  "formula": "CaTe3Br",
  "functional": "PBE",
  "state": "relaxed",
  "lattice": [[5.830, 0.000, 0.000], [0.000, 5.830, 0.000], [0.000, 0.000, 5.830]],
  "species": ["Ca", "Te", "Te", "Te", "Br"],
  "fractional_positions": [[0.000, 0.000, 0.000], [0.000, 0.000, 0.500], [0.000, 0.500, 0.000], [0.500, 0.000, 0.000], [0.500, 0.500, 0.500]],
  "de_polymorph_mev_per_atom": 126,
  "sg": "Pm-3m (221)",
  "formation_energy_uncorrected_mev_per_atom": 137
}


[12]
{
  "formula": "Ca2Te2Br",
  "functional": "PBE",
  "state": "relaxed",
  "lattice": [[8.366, 0.000, 0.000], [0.000, 8.366, 0.000], [0.000, 0.000, 4.408]],
  "species": ["Ca", "Ca", "Ca", "Ca", "Te", "Te", "Te", "Te", "Br", "Br"],
  "fractional_positions": [[0.170, 0.330, 0.000], [0.330, 0.830, 0.000], [0.670, 0.170, 0.000], [0.830, 0.670, 0.000], [0.133, 0.633, 0.500], [0.367, 0.133, 0.500], [0.633, 0.867, 0.500], [0.867, 0.367, 0.500], [0.000, 0.000, 0.000], [0.500, 0.500, 0.000]],
  "sg": "P4/mbm (127)",
  "formation_energy_uncorrected_mev_per_atom": -1351
}